CoAs5 | GGA-PBEsol | optimized geometry

Geometry as CIF:
```
data_CoAs5
_chemical_formula_sum 'Co4 As20'
_space_group_name_H-M_alt 'F -4 3 m'
_space_group_IT_number 216
_space_group_name_Hall 'F -4 2 3'
_cell_length_a 7.614
_cell_length_b 7.614
_cell_length_c 7.614
_cell_angle_alpha 90.00
_cell_angle_beta 90.00
_cell_angle_gamma 90.00
loop_
_atom_site_label
_atom_site_type_symbol
_atom_site_fract_x
_atom_site_fract_y
_atom_site_fract_z
_atom_site_occupancy
Co1 Co 0.000 0.000 0.000 1
As1 As 0.125 0.125 0.625 1
As2 As 0.250 0.250 0.250 1
```

Output
ΔE_f in meV/atom: 828
Energy relative to the lowest polymorph listed for this composition in kcal/mol of atoms: 14.49
Total energy in eV/cell: -113.19
Total moment in μB/f.u.: 1.89
N(E_F) in states/eV/cell: 34.2



BaIn2Tc | GGA-PBEsol | optimized geometry

Geometry as CIF:
```
data_BaIn2Tc
_chemical_formula_sum 'Ba1 In2 Tc1'
_space_group_name_H-M_alt 'P 4/m m m'
_space_group_IT_number 123
_space_group_name_Hall '-P 4 2'
_cell_length_a 4.451
_cell_length_b 4.451
_cell_length_c 5.088
_cell_angle_alpha 90.00
_cell_angle_beta 90.00
_cell_angle_gamma 90.00
loop_
_atom_site_label
_atom_site_type_symbol
_atom_site_fract_x
_atom_site_fract_y
_atom_site_fract_z
_atom_site_occupancy
Ba1 Ba 0.000 0.000 0.000 1
In1 In 0.000 0.500 0.500 1
Tc1 Tc 0.500 0.500 0.000 1
```

Output
ΔE_f in meV/atom: 623
Total energy in eV/cell: -16.89
Total moment in μB/f.u.: 2.23
N(E_F) in states/eV/cell: 3.6



MgRe2Hg | GGA-PBEsol | optimized geometry

Geometry as CIF:
```
data_MgRe2Hg
_chemical_formula_sum 'Mg2 Re4 Hg2'
_space_group_name_H-M_alt 'I m m 2'
_space_group_IT_number 44
_space_group_name_Hall 'I 2 -2'
_cell_length_a 4.382
_cell_length_b 4.624
_cell_length_c 6.383
_cell_angle_alpha 90.00
_cell_angle_beta 90.00
_cell_angle_gamma 90.00
loop_
_atom_site_label
_atom_site_type_symbol
_atom_site_fract_x
_atom_site_fract_y
_atom_site_fract_z
_atom_site_occupancy
Mg1 Mg 0.000 0.000 0.000 1
Re1 Re 0.000 0.000 0.518 1
Re2 Re 0.000 0.500 0.241 1
Hg1 Hg 0.000 0.500 0.753 1
```

Output
ΔE_f in meV/atom: 488
Energy relative to the lowest polymorph listed for this composition in kcal/mol of atoms: 0.00
Total energy in eV/cell: -53.99
Total moment in μB/f.u.: 0.00
N(E_F) in states/eV/cell: 2.6



Li2SBr | GGA-PBEsol | optimized geometry

Geometry as CIF:
```
data_Li2SBr
_chemical_formula_sum 'Li8 S4 Br4'
_space_group_name_H-M_alt 'F m -3 m'
_space_group_IT_number 225
_space_group_name_Hall '-F 4 2 3'
_cell_length_a 6.508
_cell_length_b 6.508
_cell_length_c 6.508
_cell_angle_alpha 90.00
_cell_angle_beta 90.00
_cell_angle_gamma 90.00
loop_
_atom_site_label
_atom_site_type_symbol
_atom_site_fract_x
_atom_site_fract_y
_atom_site_fract_z
_atom_site_occupancy
Li1 Li 0.250 0.250 0.250 1
S1 S 0.000 0.000 0.000 1
Br1 Br 0.000 0.000 0.500 1
```

Output
Total energy in eV/cell: -53.94
Total moment in μB/f.u.: 0.00
N(E_F) in states/eV/cell: 11.3
E_form (uncorrected) in kJ per mole of atoms: -79.52